(1)
DFT (PBE) results for BaLa2Si after structural relaxation.

abc: 6.1881 6.5667 3.7494
angles: 76.55 83.55 116.05
With the nearest neighbours (Å) after each atom.
Atoms (fractional coordinates):
Si (0.0000, 0.5000, 0.5000)  4 La 3.38, 2 Ba 3.43, 2 Si 3.75
La (0.0000, 0.0000, 0.0000)  2 Ba 3.38, 2 Si 3.38, 4 La 3.43-3.75
La (0.5000, 0.0000, 0.5000)  2 Si 3.38, 2 Ba 3.38, 4 La 3.43-3.75
Ba (0.5000, 0.5000, 0.0000)  4 La 3.38, 2 Si 3.43, 2 Ba 3.75

Calculated values
magnetic moment = 0.0 μB/cell
symmetry = C2/m, No. 12
final energy = -4.204 eV per atom

(2)
DFT (PBE) results for Ba2Ag2Sb after structural relaxation.

abc: 6.4533 6.4533 6.2387
angles: 58.86 58.86 90.00
With the nearest neighbours (Å) after each atom.
Atoms (fractional coordinates):
Ba (0.7500, 0.2500, 0.5000)  4 Ag 3.32
Ba (0.2500, 0.7500, 0.5000)  4 Ag 3.32
Ag (0.6558, 0.6558, 0.6883)  1 Ag 2.65, 1 Sb 2.93
Ag (0.3442, 0.3442, 0.3117)  1 Ag 2.65, 1 Sb 2.93
Sb (0.0000, 0.0000, 0.0000)  2 Ag 2.93

Calculated values
magnetic moment = 0.0 μB/cell
energy above the lowest structure with this stoichiometry = 92 meV per atom
symmetry = I4/mmm, No. 139

(3)
DFT (PBE) results for CdReAsBr2 after structural relaxation.

abc: 5.2618 5.8741 5.2618
angles: 90.00 90.00 90.00
With the nearest neighbours (Å) after each atom.
Atoms (fractional coordinates):
Br (0.0000, 0.0000, 0.5000)  2 Cd 2.63
As (0.5000, 0.5000, 0.5000)  4 Re 3.72, 8 Br 3.94
Cd (0.0000, 0.0000, 0.0000)  4 Br 2.63, 2 Re 2.94
Re (0.0000, 0.5000, 0.0000)  2 Cd 2.94
Br (0.5000, 0.0000, 0.0000)  2 Cd 2.63

Calculated values
magnetic moment = 2.2 μB/cell
energy above the lowest structure with this stoichiometry = 930 meV per atom
symmetry = P4/mmm, No. 123

(4)
DFT (PBE) results for Np3UN6 after structural relaxation.

abc: 5.9213 5.9213 5.8527
angles: 59.61 59.61 60.00
With the nearest neighbours (Å) after each atom.
Atoms (fractional coordinates):
U (0.8590, 0.8590, 0.4229)  6 N 2.25
N (0.4743, 0.7476, 0.7429)  1 U 2.25, 3 Np 2.28-2.38
N (0.9723, 0.5415, 0.2470)  1 U 2.25, 3 Np 2.29-2.36
N (0.0353, 0.4743, 0.7429)  1 U 2.25, 3 Np 2.28-2.38
N (0.7476, 0.0353, 0.7429)  1 U 2.25, 3 Np 2.28-2.38
Np (0.3622, 0.3622, 0.9134)  6 N 2.28-2.31
N (0.2392, 0.9723, 0.2470)  1 U 2.25, 3 Np 2.29-2.36
Np (0.1356, 0.1356, 0.5933)  6 N 2.28-2.36
Np (0.6331, 0.6331, 0.1007)  6 N 2.29-2.38
N (0.5415, 0.2392, 0.2470)  1 U 2.25, 3 Np 2.29-2.36

Calculated values
magnetic moment = 9.0 μB/cell
energy above the lowest structure with this stoichiometry = 0 meV per atom
symmetry = R3, No. 146

(5)
DFT (PBE) results for YHoTmCd after structural relaxation.

abc: 5.4180 5.4180 5.4180
angles: 60.00 60.00 60.00
With the nearest neighbours (Å) after each atom.
Atoms (fractional coordinates):
Cd (0.0000, 0.0000, 0.0000)  4 Ho 3.32, 4 Y 3.32
Ho (0.2500, 0.2500, 0.2500)  4 Cd 3.32, 4 Tm 3.32
Y (0.7500, 0.7500, 0.7500)  4 Tm 3.32, 4 Cd 3.32
Tm (0.5000, 0.5000, 0.5000)  4 Y 3.32, 4 Ho 3.32

Calculated values
energy of formation from the pure elements = -27 meV/atom
magnetic moment = 0.0 μB/cell
energy above the lowest structure with this stoichiometry = 118 meV per atom
symmetry = F-43m, No. 216

(6)
DFT (PBE) results for BaSr2Mg after structural relaxation.

abc: 12.8869 12.8869 12.8869
angles: 19.09 19.09 19.09
With the nearest neighbours (Å) after each atom.
Atoms (fractional coordinates):
Mg (0.7500, 0.7500, 0.7500)  6 Sr 3.61
Sr (0.0138, 0.0138, 0.0138)  3 Mg 3.61
Ba (0.2500, 0.2500, 0.2500)  6 Ba 4.27, 6 Sr 4.43
Sr (0.4862, 0.4862, 0.4862)  3 Mg 3.61

Calculated values
energy of formation from the pure elements = 71 meV/atom
magnetic moment = 0.0 μB/cell
symmetry = R-3m, No. 166

(7)
DFT (PBE) results for Ca2MnIn2 after structural relaxation.

abc: 4.1508 4.1508 9.4601
angles: 77.33 77.33 90.00
With the nearest neighbours (Å) after each atom.
Atoms (fractional coordinates):
In (0.2500, 0.7500, 0.5000)  4 In 2.94
In (0.7500, 0.2500, 0.5000)  4 In 2.94
Ca (0.5973, 0.5973, 0.8055)  4 Mn 3.42, 4 In 3.44, 1 Ca 3.50
Ca (0.4027, 0.4027, 0.1945)  4 Mn 3.42, 4 In 3.44, 1 Ca 3.50
Mn (0.0000, 0.0000, 0.0000)  8 Ca 3.42

Calculated values
energy of formation from the pure elements = 251 meV/atom
magnetic moment = 4.0 μB/cell
symmetry = I4/mmm, No. 139

(8)
DFT (PBE) results for HoTmAlRu after structural relaxation.

abc: 4.9081 4.9081 4.9081
angles: 60.00 60.00 60.00
With the nearest neighbours (Å) after each atom.
Atoms (fractional coordinates):
Al (0.7500, 0.7500, 0.7500)  4 Ho 3.01, 4 Tm 3.01
Ho (0.5000, 0.5000, 0.5000)  4 Al 3.01, 4 Ru 3.01
Ru (0.2500, 0.2500, 0.2500)  4 Ho 3.01, 4 Tm 3.01
Tm (0.0000, 0.0000, 0.0000)  4 Al 3.01, 4 Ru 3.01

Calculated values
energy of formation from the pure elements = -390 meV/atom
magnetic moment = 0.0 μB/cell
symmetry = F-43m, No. 216

(9)
DFT (PBE) results for K2Ga3Au17 after structural relaxation.

abc: 7.8250 7.8250 7.8250
angles: 84.18 84.18 84.18
With the nearest neighbours (Å) after each atom.
Atoms (fractional coordinates):
Au (0.0000, 0.0000, 0.5000)  10 Au 2.91-3.18
Au (0.1003, 0.1003, 0.1003)  13 Au 2.98-3.18
Au (0.7363, 0.2637, 0.0000)  1 Ga 2.48, 2 Au 2.77
Ga (0.0000, 0.5000, 0.5000)  4 Au 2.48-2.51
Ga (0.5000, 0.0000, 0.5000)  4 Au 2.48-2.51
Au (0.5000, 0.0000, 0.0000)  10 Au 2.91-3.18
K (0.6335, 0.6335, 0.6335)  3 Ga 3.07
Au (0.7363, 0.0000, 0.2637)  1 Ga 2.48, 2 Au 2.77
Ga (0.5000, 0.5000, 0.0000)  4 Au 2.48-2.51
Au (0.3253, 0.8442, 0.3253)  1 Ga 2.51
Au (0.6747, 0.1558, 0.6747)  1 Ga 2.51
Au (0.0000, 0.5000, 0.0000)  10 Au 2.91-3.18
Au (0.0000, 0.7363, 0.2637)  1 Ga 2.48, 2 Au 2.77
K (0.3665, 0.3665, 0.3665)  3 Ga 3.07
Au (0.0000, 0.2637, 0.7363)  1 Ga 2.48, 2 Au 2.77
Au (0.8997, 0.8997, 0.8997)  13 Au 2.98-3.18
Au (0.2637, 0.0000, 0.7363)  1 Ga 2.48, 2 Au 2.77
Au (0.6747, 0.6747, 0.1558)  1 Ga 2.51
Au (0.8442, 0.3253, 0.3253)  1 Ga 2.51
Au (0.3253, 0.3253, 0.8442)  1 Ga 2.51
Au (0.1558, 0.6747, 0.6747)  1 Ga 2.51
Au (0.2637, 0.7363, 0.0000)  1 Ga 2.48, 2 Au 2.77

Calculated values
energy of formation from the pure elements = -3 meV/atom
magnetic moment = 0.0 μB/cell
symmetry = R-3m, No. 166

(10)
DFT (PBE) results for LiAcAs2Pt2 after structural relaxation.

abc: 4.3927 4.3927 7.1409
angles: 90.00 90.00 120.00
With the nearest neighbours (Å) after each atom.
Atoms (fractional coordinates):
Ac (0.0000, 0.0000, 0.0000)  6 As 3.31, 6 Pt 3.41, 2 Li 3.57
Li (0.0000, 0.0000, 0.5000)  6 Pt 2.84, 6 As 2.92
Pt (0.3333, 0.6667, 0.6802)  4 As 2.54-2.74, 3 Li 2.84
Pt (0.6667, 0.3333, 0.3198)  4 As 2.54-2.74, 3 Li 2.84
As (0.3333, 0.6667, 0.2972)  4 Pt 2.54-2.74
As (0.6667, 0.3333, 0.7028)  4 Pt 2.54-2.74

Calculated values
energy of formation from the pure elements = -923 meV/atom
magnetic moment = 0.0 μB/cell
symmetry = P-3m1, No. 164

(11)
DFT (PBE) results for NaAlRu2 after structural relaxation.

abc: 4.0833 4.0833 9.6515
angles: 77.79 77.79 90.00
With the nearest neighbours (Å) after each atom.
Atoms (fractional coordinates):
Ru (0.8750, 0.9825, 0.7500)  2 Ru 2.35, 2 Al 2.58
Al (0.0000, 0.0000, 0.0000)  4 Ru 2.58, 4 Na 2.89
Na (0.2500, 0.7500, 0.5000)  4 Al 2.89, 4 Ru 2.91
Al (0.7500, 0.2500, 0.5000)  4 Ru 2.58, 4 Na 2.89
Ru (0.7325, 0.1250, 0.2500)  2 Ru 2.35, 2 Al 2.58
Na (0.5000, 0.5000, 0.0000)  4 Al 2.89, 4 Ru 2.91
Ru (0.0175, 0.6250, 0.2500)  2 Ru 2.35, 2 Al 2.58
Ru (0.3750, 0.2675, 0.7500)  2 Ru 2.35, 2 Al 2.58

Calculated values
energy of formation from the pure elements = 646 meV/atom
magnetic moment = 0.0 μB/cell
symmetry = I-42d, No. 122

(12)
DFT (PBE) results for RbMgPb2 after structural relaxation.

abc: 5.9845 5.9845 10.9107
angles: 74.08 74.08 90.00
With the nearest neighbours (Å) after each atom.
Atoms (fractional coordinates):
Pb (0.8750, 0.6917, 0.7500)  2 Mg 2.95, 2 Pb 3.10
Pb (0.4417, 0.1250, 0.2500)  2 Mg 2.95, 2 Pb 3.10
Mg (0.2500, 0.7500, 0.5000)  4 Pb 2.95
Rb (0.0000, 0.0000, 0.0000)  4 Pb 3.91, 4 Mg 4.23
Mg (0.5000, 0.5000, 0.0000)  4 Pb 2.95
Rb (0.7500, 0.2500, 0.5000)  4 Pb 3.91, 4 Mg 4.23
Pb (0.3750, 0.5583, 0.7500)  2 Mg 2.95, 2 Pb 3.10
Pb (0.3083, 0.6250, 0.2500)  2 Mg 2.95, 2 Pb 3.10

Calculated values
energy of formation from the pure elements = 105 meV/atom
magnetic moment = 0.0 μB/cell
symmetry = I-42d, No. 122

- magnetic moment of number 2 (Ba2Ag2Sb)?
  0.0 μB/cell

- Which value of magnetic moment does entry 2 give?
  0.0 μB/cell

- Which value of magnetic moment does entry 11 give?
  0.0 μB/cell